Here is a relaxed structure of BeNi3 from Alexandria via LeMat-Bulk. Energies are from PBE-GGA.

Unit cell a=3.4318 b=3.4318 c=3.4318 alpha=90.00 beta=90.00 gamma=90.00
Last column: nearest neighbours and their distance in Å.
Atoms (fractional coordinates):
Be1 0.0000 0.0000 0.0000  12 Ni 2.43
Ni1 0.0000 0.5000 0.5000  8 Ni 2.43, 4 Be 2.43
Ni2 0.5000 0.0000 0.5000  8 Ni 2.43, 4 Be 2.43
Ni3 0.5000 0.5000 0.0000  8 Ni 2.43, 4 Be 2.43

calculated density	7.604	g/cm3
crystal system	cubic
E	-5.433	eV/atom
SG	Pm-3m, No. 221